This record from the Alexandria database describes a relaxed structure of TbPm5NdSm2. The functional is PBE-GGA.

Cell: 8.8711 8.8711 10.0696 Å, 116.14 116.14 90.00°
Fractional positions:
Tb1 0.2500 0.7500 0.5000
Tb2 0.7500 0.2500 0.5000
Pm1 0.9301 0.4301 0.2756
Pm2 0.6545 0.1545 0.7244
Pm3 0.0699 0.5699 0.7244
Pm4 0.1545 0.0699 0.7244
Pm5 0.5699 0.6545 0.7244
Pm6 0.8455 0.9301 0.2756
Pm7 0.4301 0.3455 0.2756
Pm8 0.3455 0.8455 0.2756
Pm9 0.5000 0.5000 0.0000
Pm10 0.0000 0.0000 0.0000
Nd1 0.2500 0.2500 0.5000
Nd2 0.7500 0.7500 0.5000
Sm1 0.1168 0.3832 0.0000
Sm2 0.6168 0.1168 0.0000
Sm3 0.3832 0.8832 0.0000
Sm4 0.8832 0.6168 0.0000

Properties
As for the calculated formation energy: 274 meV per atom.


This record from the Alexandria database describes a relaxed structure of Rb3PmNb2O8. The functional is PBE-GGA.

Cell: 6.3633 6.3633 8.1061 Å, 90.00 90.00 120.00°
Fractional positions:
Rb1 0.3333 0.6667 0.6891
Rb2 0.6667 0.3333 0.3109
Rb3 0.0000 0.0000 0.0000
Pm1 0.0000 0.0000 0.5000
Nb1 0.3333 0.6667 0.2442
Nb2 0.6667 0.3333 0.7558
O1 0.3333 0.6667 0.0195
O2 0.6667 0.3333 0.9805
O3 0.1717 0.8283 0.3263
O4 0.8283 0.1717 0.6737
O5 0.1717 0.3434 0.3263
O6 0.8283 0.6566 0.6737
O7 0.6566 0.8283 0.3263
O8 0.3434 0.1717 0.6737

Properties
Its uncorrected formation energy is -2.545 eV per atom.


This record from the Alexandria database describes a relaxed structure of CaSi3N. The functional is PBE-GGA.

Cell: 4.2867 4.2867 4.2867 Å, 90.00 90.00 90.00°
Fractional positions:
Ca1 0.5000 0.5000 0.5000
Si1 0.0000 0.5000 0.0000
Si2 0.0000 0.0000 0.5000
Si3 0.5000 0.0000 0.0000
N1 0.0000 0.0000 0.0000

Properties
Its uncorrected formation energy is 0.453 eV per atom.


This record from the Alexandria database describes a relaxed structure of CuAs2S2Br2. The functional is PBE-GGA.

Cell: 3.4337 8.0146 8.0524 Å, 60.01 90.00 77.64°
Fractional positions:
Cu1 0.0000 0.0000 0.0000
As1 0.8599 0.2809 0.3598
As2 0.1401 0.7191 0.6402
S1 0.7506 0.4978 0.7509
S2 0.2494 0.5022 0.2491
Br1 0.4994 0.0012 0.7803
Br2 0.5006 0.9988 0.2197

Properties
Its uncorrected formation energy is -0.058 eV per atom.


This record from the Alexandria database describes a relaxed structure of Sc2AgTe. The functional is PBE-GGA.

Cell: 4.8677 4.8632 3.6900 Å, 90.00 90.00 90.00°
Last column: magnetic moment on the atom in μB.
Fractional positions:
Ag1 0.0000 0.5000 0.5000  0.01
Sc1 0.0000 0.0000 0.0000  0.24
Sc2 0.5000 0.5000 0.0000  0.24
Te1 0.5000 0.0000 0.5000  -0.01

Properties
Its uncorrected formation energy is -0.505 eV per atom.


This record from the Alexandria database describes a relaxed structure of CoCu2Br. The functional is PBE-GGA.

Cell: 3.7326 3.7326 4.1860 Å, 90.00 90.00 90.00°
Last column: magnetic moment on the atom in μB.
Fractional positions:
Br1 0.5000 0.0000 0.5000  0.03
Co1 0.0000 0.5000 0.5000  1.65
Cu1 0.0000 0.0000 0.0000  -0.01
Cu2 0.5000 0.5000 0.0000  -0.01

Properties
Its uncorrected formation energy is 0.622 eV per atom.


This record from the Alexandria database describes a relaxed structure of Nb3ReAs. The functional is PBE-GGA.

Cell: 4.6609 4.6609 4.6609 Å, 90.00 90.00 90.00°
Fractional positions:
Re1 0.5000 0.5000 0.5000
Nb1 0.0000 0.5000 0.0000
Nb2 0.0000 0.0000 0.5000
Nb3 0.5000 0.0000 0.0000
As1 0.0000 0.0000 0.0000

Properties
As for the calculated formation energy: 1054 meV per atom.


This record from the Alexandria database describes a relaxed structure of SiNi2Ru. The functional is PBE-GGA.

Cell: 7.9741 7.9741 7.9741 Å, 19.41 19.41 19.41°
Last column: magnetic moment on the atom in μB.
Fractional positions:
Ni1 0.0050 0.0050 0.0050  0.03
Ni2 0.2525 0.2525 0.2525  0.13
Ru1 0.4957 0.4957 0.4957  0.04
Si1 0.7468 0.7468 0.7468  0.00

Properties
Its uncorrected formation energy is -0.079 eV per atom.


This record from the Alexandria database describes a relaxed structure of CaAgHPd2. The functional is PBE-GGA.

Cell: 4.2178 4.2178 4.2422 Å, 90.00 90.00 90.00°
Fractional positions:
H1 0.0000 0.0000 0.0000
Ca1 0.5000 0.5000 0.5000
Pd1 0.0000 0.5000 0.0000
Pd2 0.5000 0.0000 0.0000
Ag1 0.0000 0.0000 0.5000

Properties
The value obtained for the total energy is -4.06 eV per atom.


This record from the Alexandria database describes a relaxed structure of Cd3CuS. The functional is PBE-GGA.

Cell: 4.9753 4.9753 4.9753 Å, 90.00 90.00 90.00°
Fractional positions:
S1 0.5000 0.5000 0.5000
Cu1 0.0000 0.0000 0.0000
Cd1 0.0000 0.5000 0.0000
Cd2 0.0000 0.0000 0.5000
Cd3 0.5000 0.0000 0.0000

Properties
Its uncorrected formation energy is 0.337 eV per atom.


This record from the Alexandria database describes a relaxed structure of CuSbRu2. The functional is PBE-GGA.

Cell: 5.0408 5.0408 4.5440 Å, 69.56 69.56 34.82°
Fractional positions:
Cu1 0.2597 0.2597 0.1682
Ru1 0.0056 0.0056 0.0786
Ru2 0.7428 0.7428 0.6787
Sb1 0.4919 0.4919 0.5745

Properties
Its uncorrected formation energy is 0.202 eV per atom.


This record from the Alexandria database describes a relaxed structure of RbTb3Ag2Te6. The functional is PBE-GGA.

Cell: 4.5539 9.7939 11.7462 Å, 114.93 101.18 90.00°
Fractional positions:
Rb1 0.5000 0.0000 0.0000
Tb1 0.5000 0.5000 0.0000
Tb2 0.8360 0.1966 0.6721
Tb3 0.1640 0.8034 0.3279
Ag1 0.7649 0.8054 0.5298
Ag2 0.2351 0.1946 0.4702
Te1 0.3258 0.9527 0.6517
Te2 0.6451 0.5691 0.2901
Te3 0.6742 0.0473 0.3483
Te4 0.9780 0.2675 0.9559
Te5 0.0220 0.7325 0.0441
Te6 0.3549 0.4309 0.7099

Properties
Its uncorrected formation energy is -1.041 eV per atom.


This record from the Alexandria database describes a relaxed structure of Y2Al. The functional is PBE-GGA.

Cell: 5.0689 5.0689 5.0689 Å, 60.00 60.00 60.00°
Fractional positions:
Y1 0.7500 0.7500 0.7500
Y2 0.2500 0.2500 0.2500
Al1 0.0000 0.0000 0.0000

Properties
As for the calculated formation energy: -58 meV per atom.


This record from the Alexandria database describes a relaxed structure of Y3IrPd. The functional is PBE-GGA.

Cell: 5.3192 5.3192 5.3192 Å, 90.00 90.00 90.00°
Fractional positions:
Y1 0.0000 0.5000 0.0000
Y2 0.0000 0.0000 0.5000
Y3 0.5000 0.0000 0.0000
Ir1 0.0000 0.0000 0.0000
Pd1 0.5000 0.5000 0.5000

Properties
As for the calculated formation energy: -263 meV per atom.


This record from the Alexandria database describes a relaxed structure of RbSb2Cl8. The functional is PBE-GGA.

Cell: 7.1930 7.6816 7.6816 Å, 63.39 88.07 88.07°
Fractional positions:
Rb1 0.0000 0.0000 0.0000
Sb1 0.3865 0.3496 0.3496
Sb2 0.6135 0.6504 0.6504
Cl1 0.3866 0.6803 0.0467
Cl2 0.6134 0.9533 0.3197
Cl3 0.0984 0.2619 0.2619
Cl4 0.9016 0.7381 0.7381
Cl5 0.3866 0.0467 0.6803
Cl6 0.6134 0.3197 0.9533
Cl7 0.7550 0.4774 0.4774
Cl8 0.2450 0.5226 0.5226

Properties
Its uncorrected formation energy is -0.957 eV per atom.


This record from the Alexandria database describes a relaxed structure of ScMn2Cr. The functional is PBE-GGA.

Cell: 4.2829 4.2829 2.9824 Å, 90.00 90.00 90.00°
Last column: magnetic moment on the atom in μB.
Fractional positions:
Cr1 0.0000 0.5000 0.5000  -2.14
Mn1 0.0000 0.0000 0.0000  1.65
Mn2 0.5000 0.5000 0.0000  1.65
Sc1 0.5000 0.0000 0.5000  -0.21

Properties
As for the calculated formation energy: 150 meV per atom.


This record from the Alexandria database describes a relaxed structure of Y3TiMn. The functional is PBE-GGA.

Cell: 5.3267 5.3267 5.3267 Å, 90.00 90.00 90.00°
Last column: magnetic moment on the atom in μB.
Fractional positions:
Y1 0.0000 0.5000 0.0000  -0.08
Y2 0.0000 0.0000 0.5000  -0.10
Y3 0.5000 0.0000 0.0000  -0.11
Mn1 0.5000 0.5000 0.5000  4.22
Ti1 0.0000 0.0000 0.0000  -0.20

Properties
As for the calculated formation energy: 814 meV per atom.


This record from the Alexandria database describes a relaxed structure of CaSbI2N. The functional is PBE-GGA.

Cell: 6.1073 6.1073 4.1768 Å, 90.00 90.00 90.00°
Fractional positions:
I1 0.0000 0.5000 0.0000
I2 0.5000 0.0000 0.0000
Sb1 0.5000 0.5000 0.5000
Ca1 0.0000 0.0000 0.0000
N1 0.0000 0.0000 0.5000

Properties
Its uncorrected formation energy is 0.500 eV per atom.